1.
## Tl2PSe4 (PBE-GGA)

Data for a geometry-optimized Tl2PSe4 structure.

abc: 7.0140 7.1918 8.3550
angles: 90.00 107.40 90.00
Last column: nearest neighbours and their distance in Å.
Sites, in units of the cell vectors:
Tl 0.7500 0.7500 0.0507  6 Se 3.06-3.27
Tl 0.2500 0.2500 0.9493  6 Se 3.06-3.27
Tl 0.2375 0.2500 0.4242  6 Se 3.24-3.37
Tl 0.7625 0.7500 0.5758  6 Se 3.24-3.37
P 0.2967 0.7500 0.1975  4 Se 2.22-2.25
P 0.7033 0.2500 0.8025  4 Se 2.22-2.25
Se 0.5063 0.5047 0.2543  1 P 2.25
Se 0.1268 0.7500 0.9267  1 P 2.22
Se 0.8732 0.2500 0.0733  1 P 2.22
Se 0.5063 0.9953 0.2543  1 P 2.25
Se 0.8923 0.2500 0.6308  1 P 2.23
Se 0.4937 0.0047 0.7457  1 P 2.25
Se 0.4937 0.4953 0.7457  1 P 2.25
Se 0.1077 0.7500 0.3692  1 P 2.23

spin magnetization	0.00	μB per formula unit
N(E_F)	7.7	states/eV/cell
VASP energy	-3.636	eV per atom
energy above the most stable polymorph in this dataset	0.0000	eV/atom
formation energy (no corrections)	-0.1961	eV per atom

***

2.
## Ti2TlS (PBE-GGA)

Data for a geometry-optimized Ti2TlS structure.

abc: 3.4222 3.4222 7.4814
angles: 76.78 76.78 60.00
Last column: nearest neighbours and their distance in Å.
Sites, in units of the cell vectors:
Ti 0.0600 0.0600 0.8199  3 S 2.36
Ti 0.2738 0.2738 0.1786  3 S 2.36
Tl 0.4991 0.4991 0.5026  6 Ti 3.02-3.06
S 0.6670 0.6670 0.9989  6 Ti 2.36

spin magnetization	0.00	μB per formula unit
N(E_F)	2.9	states/eV/cell
VASP energy	-6.254	eV per atom
energy above the most stable polymorph in this dataset	0.0000	eV/atom
formation energy (no corrections)	-0.6826	eV per atom

***

3.
## CrPbSN2 (PBE-GGA)

Data for a geometry-optimized CrPbSN2 structure.

abc: 3.8719 3.8719 5.0141
angles: 90.00 90.00 90.00
Last column: nearest neighbours and their distance in Å.
Sites, in units of the cell vectors:
Pb 0.5000 0.5000 0.5000  4 S 2.74
Cr 0.0000 0.0000 0.0000  4 N 1.94
S 0.0000 0.0000 0.5000  2 Cr 2.51, 4 Pb 2.74
N 0.0000 0.5000 0.0000  2 Cr 1.94
N 0.5000 0.0000 0.0000  2 Cr 1.94

spin magnetization	0.19	μB per formula unit
N(E_F)	2.2	states/eV/cell
VASP energy	-6.469	eV per atom
energy above the most stable polymorph in this dataset	0.0000	eV/atom
formation energy (no corrections)	0.3532	eV per atom

***

4.
## AcTb2Eu (PBE-GGA)

Data for a geometry-optimized AcTb2Eu structure.

abc: 3.7547 3.7547 12.2493
angles: 81.18 81.18 60.00
Last column: nearest neighbours and their distance in Å.
Sites, in units of the cell vectors:
Eu 0.5000 0.5000 0.5000  6 Tb 3.73, 6 Eu 3.75
Ac 0.0000 0.0000 0.0000  6 Tb 3.70, 6 Ac 3.75
Tb 0.2505 0.2505 0.2485  3 Ac 3.70, 3 Eu 3.73, 6 Tb 3.75
Tb 0.7495 0.7495 0.7515  3 Ac 3.70, 3 Eu 3.73, 6 Tb 3.75

spin magnetization	7.76	μB per formula unit
N(E_F)	4.8	states/eV/cell
VASP energy	-5.836	eV per atom
energy above the most stable polymorph in this dataset	0.0000	eV/atom
formation enthalpy at 0 K	0.07	eV/atom

***

5.
## Zn2CuAs (PBE-GGA)

Data for a geometry-optimized Zn2CuAs structure.

abc: 5.1929 5.1929 4.3969
angles: 88.15 88.15 31.77
Last column: nearest neighbours and their distance in Å.
Sites, in units of the cell vectors:
As 0.2500 0.2500 0.2500  4 Cu 2.62, 2 Zn 2.71, 2 As 2.84
Cu 0.7500 0.7500 0.7500  4 As 2.62, 2 Zn 2.82, 2 Cu 2.84
Zn 0.0079 0.0079 0.9913  6 Zn 2.56-2.84, 1 As 2.71, 1 Cu 2.82
Zn 0.4921 0.4921 0.5087  6 Zn 2.56-2.84, 1 As 2.71, 1 Cu 2.82

spin magnetization	0.00	μB per formula unit
N(E_F)	0.6	states/eV/cell
VASP energy	-2.734	eV per atom
formation enthalpy at 0 K	0.09	eV/atom

***

6.
## TaZnF3 (PBE-GGA)

Data for a geometry-optimized TaZnF3 structure.

abc: 4.1371 4.1371 4.1371
angles: 90.00 90.00 90.00
Last column: nearest neighbours and their distance in Å.
Sites, in units of the cell vectors:
Zn 0.0000 0.0000 0.0000  6 F 2.07
F 0.0000 0.5000 0.0000  2 Zn 2.07
F 0.0000 0.0000 0.5000  2 Zn 2.07
F 0.5000 0.0000 0.0000  2 Zn 2.07
Ta 0.5000 0.5000 0.5000  12 F 2.93

spin magnetization	3.59	μB per formula unit
N(E_F)	6.2	states/eV/cell
VASP energy	-4.484	eV per atom
energy above the most stable polymorph in this dataset	0.8889	eV/atom
formation energy (no corrections)	-0.7359	eV per atom

***

7.
## Zr2NbHAu (PBE-GGA)

Data for a geometry-optimized Zr2NbHAu structure.

abc: 4.6263 4.6263 3.8404
angles: 90.00 90.00 90.00
Last column: nearest neighbours and their distance in Å.
Sites, in units of the cell vectors:
H 0.0000 0.0000 0.0000  2 Nb 1.92
Nb 0.0000 0.0000 0.5000  2 H 1.92
Au 0.5000 0.5000 0.5000  8 Zr 3.01, 4 Nb 3.27
Zr 0.0000 0.5000 0.0000  2 H 2.31
Zr 0.5000 0.0000 0.0000  2 H 2.31

spin magnetization	0.00	μB per formula unit
N(E_F)	5.4	states/eV/cell
VASP energy	-7.054	eV per atom

***

8.
## AlReSb2 (PBE-GGA)

Data for a geometry-optimized AlReSb2 structure.

abc: 3.5803 3.4583 7.6187
angles: 90.01 90.00 90.00
Last column: nearest neighbours and their distance in Å.
Sites, in units of the cell vectors:
Re 0.5000 0.8749 0.6413  4 Al 2.51
Al 0.0000 0.3749 0.6031  4 Re 2.51, 2 Sb 2.76
Sb 0.0000 0.8753 0.9283  2 Re 2.83, 2 Al 3.02
Sb 0.5000 0.3750 0.3273  2 Al 2.76, 2 Re 2.95

spin magnetization	0.00	μB per formula unit
N(E_F)	1.8	states/eV/cell
VASP energy	-5.849	eV per atom
formation energy (no corrections)	0.2603	eV per atom